# Ga2CoF

A relaxed Ga2CoF crystal (GGA+U, Alexandria via LeMat-Bulk).

abc: 5.993 5.993 5.339
angles: 55.86 55.86 90.00
Sites, in units of the cell vectors:
F 0.250 0.750 0.500
F 0.500 0.500 0.000
Co 0.750 0.250 0.500
Co 0.000 0.000 0.000
Ga 0.875 0.865 0.750
Ga 0.135 0.625 0.250
Ga 0.615 0.125 0.250
Ga 0.375 0.385 0.750

* symmetry: No. 122
* theoretical density: 6.190 g/cm³
* energy above the most stable polymorph in this dataset: 0.00 kJ per mole of atoms
* M_tot: 0.0 μB/cell